1.
{
  "formula": "NaLuNp",
  "functional": "PBE",
  "state": "relaxed",
  "dft_energy_ev_per_atom": -4.79,
  "lattice": [[-4.241, -2.848, 0.989], [-4.504, 2.347, 1.129], [-3.918, -0.107, -3.422]],
  "species": ["Lu", "Na", "Np"],
  "frac_coords": [[0.250, 0.250, 0.250], [0.000, 0.000, 0.000], [0.750, 0.750, 0.750]]
}

2.
{
  "formula": "Sr2Ir2O5",
  "functional": "PBE",
  "state": "relaxed",
  "dft_energy_ev_per_atom": -6.54,
  "lattice": [[7.113, 0.000, 0.000], [0.000, 3.988, 0.000], [0.000, 0.000, 3.988]],
  "species": ["Sr", "Sr", "O", "O", "O", "O", "O", "Ir", "Ir"],
  "frac_coords": [[0.500, 0.000, 0.000], [0.000, 0.000, 0.000], [0.227, 0.500, 0.000], [0.773, 0.000, 0.500], [0.773, 0.500, 0.000], [0.500, 0.500, 0.500], [0.227, 0.000, 0.500], [0.192, 0.500, 0.500], [0.808, 0.500, 0.500]]
}

3.
{
  "formula": "La2Ir5C4",
  "functional": "PBE",
  "state": "relaxed",
  "dft_energy_ev_per_atom": -8.12,
  "lattice": [[0.105, -6.692, 3.603], [-4.208, -2.542, 3.544], [-0.384, -5.504, -2.319]],
  "species": ["La", "La", "Ir", "Ir", "Ir", "Ir", "Ir", "C", "C", "C", "C"],
  "frac_coords": [[0.344, 0.344, 0.656], [0.656, 0.656, 0.344], [0.000, 0.000, 0.500], [0.750, 0.750, 0.750], [0.250, 0.250, 0.250], [0.500, 0.500, 0.000], [0.000, 0.000, 0.000], [0.718, 0.026, 0.974], [0.282, 0.974, 0.026], [0.974, 0.282, 0.718], [0.026, 0.718, 0.282]]
}

4.
{
  "formula": "LuNiBiPd",
  "functional": "PBE",
  "state": "relaxed",
  "dft_energy_ev_per_atom": -5.33,
  "lattice": [[0.000, 3.362, 3.362], [3.362, 0.000, 3.362], [3.362, 3.362, 0.000]],
  "species": ["Pd", "Bi", "Ni", "Lu"],
  "frac_coords": [[0.250, 0.250, 0.250], [0.000, 0.000, 0.000], [0.750, 0.750, 0.750], [0.500, 0.500, 0.500]]
}

5.
{
  "formula": "GdMgTlTe3",
  "functional": "PBE",
  "state": "relaxed",
  "dft_energy_ev_per_atom": -3.96,
  "lattice": [[-6.055, 0.418, -5.303], [4.854, -4.653, 4.445], [-7.766, 0.400, 8.900]],
  "species": ["Te", "Te", "Te", "Te", "Te", "Te", "Gd", "Gd", "Mg", "Mg", "Tl", "Tl"],
  "frac_coords": [[0.075, 0.925, 0.750], [0.365, 0.635, 0.556], [0.925, 0.075, 0.250], [0.635, 0.365, 0.056], [0.365, 0.635, 0.944], [0.635, 0.365, 0.444], [0.000, 0.000, 0.000], [0.000, 0.000, 0.500], [0.535, 0.465, 0.250], [0.465, 0.535, 0.750], [0.758, 0.242, 0.750], [0.242, 0.758, 0.250]]
}

6.
{
  "formula": "PmHgMo",
  "functional": "PBE",
  "state": "relaxed",
  "delta_e_f_mev_per_atom": 785,
  "lattice": [[-3.676, -3.172, 0.225], [-2.598, -0.424, 4.086], [-4.587, 1.602, 0.141]],
  "species": ["Mo", "Pm", "Hg"],
  "frac_coords": [[0.250, 0.250, 0.250], [0.750, 0.750, 0.750], [0.000, 0.000, 0.000]]
}

7.
{
  "formula": "TeAsIrO",
  "functional": "PBE",
  "state": "relaxed",
  "dft_energy_ev_per_atom": -4.89,
  "lattice": [[-3.187, 2.230, 1.400], [-2.258, -3.445, 0.346], [3.116, -1.147, 8.921]],
  "species": ["Te", "Te", "Ir", "Ir", "As", "As", "O", "O"],
  "frac_coords": [[0.750, 0.250, 0.500], [0.250, 0.750, 0.500], [0.250, 0.250, 0.077], [0.750, 0.750, 0.923], [0.750, 0.750, 0.176], [0.250, 0.250, 0.824], [0.750, 0.250, 0.000], [0.250, 0.750, 0.000]]
}

8.
{
  "formula": "TlCuReTe2Se",
  "functional": "PBE",
  "state": "relaxed",
  "dft_energy_ev_per_atom": -4.63,
  "lattice": [[-4.099, 6.695, -1.386], [2.936, -7.056, -2.269], [-8.223, -4.403, 3.051]],
  "species": ["Cu", "Cu", "Te", "Te", "Te", "Te", "Re", "Re", "Se", "Se", "Tl", "Tl"],
  "frac_coords": [[0.026, 0.974, 0.750], [0.974, 0.026, 0.250], [0.124, 0.876, 0.541], [0.124, 0.876, 0.959], [0.876, 0.124, 0.041], [0.876, 0.124, 0.459], [0.500, 0.500, 0.500], [0.500, 0.500, 0.000], [0.566, 0.434, 0.250], [0.434, 0.566, 0.750], [0.243, 0.757, 0.250], [0.757, 0.243, 0.750]]
}

9.
{
  "formula": "Nb2SiAg2Ge",
  "functional": "PBE",
  "state": "relaxed",
  "dft_energy_ev_per_atom": -6.09,
  "lattice": [[3.745, 0.000, 0.000], [0.000, 3.745, 0.000], [0.000, 0.000, 7.218]],
  "species": ["Nb", "Nb", "Ag", "Ag", "Si", "Ge"],
  "frac_coords": [[0.500, 0.500, 0.623], [0.000, 0.000, 0.367], [0.000, 0.500, 0.006], [0.500, 0.000, 0.006], [0.500, 0.500, 0.267], [0.000, 0.000, 0.731]]
}

10.
{
  "formula": "NdLuNO",
  "functional": "PBE",
  "state": "relaxed",
  "dft_energy_ev_per_atom": -7.50,
  "lattice": [[-3.369, -0.762, 2.647], [2.754, -1.063, 3.198], [0.170, 8.165, 2.568]],
  "species": ["O", "O", "Nd", "Nd", "Lu", "Lu", "N", "N"],
  "frac_coords": [[0.250, 0.750, 0.000], [0.750, 0.250, 0.000], [0.250, 0.250, 0.113], [0.750, 0.750, 0.887], [0.750, 0.250, 0.500], [0.250, 0.750, 0.500], [0.750, 0.750, 0.443], [0.250, 0.250, 0.557]]
}

11.
{
  "formula": "MgCd2Te2F2",
  "functional": "PBE",
  "state": "relaxed",
  "dft_energy_ev_per_atom": -3.04,
  "lattice": [[-2.260, -2.178, -2.459], [2.486, 0.816, -3.008], [5.048, -7.614, 2.107]],
  "species": ["F", "F", "Te", "Te", "Cd", "Cd", "Mg"],
  "frac_coords": [[0.500, 0.500, 0.500], [0.000, 0.000, 0.500], [0.000, 0.500, 0.204], [0.500, 0.000, 0.796], [0.000, 0.500, 0.644], [0.500, 0.000, 0.356], [0.000, 0.000, 0.000]]
}

12.
{
  "formula": "GdAs2",
  "functional": "PBE",
  "state": "relaxed",
  "dft_energy_ev_per_atom": -4.07,
  "lattice": [[-8.997, -0.493, -0.921], [-4.951, -4.396, 6.181], [-5.388, 4.634, 5.616]],
  "species": ["As", "As", "As", "As", "Gd", "Gd"],
  "frac_coords": [[0.375, 0.375, 0.375], [0.375, 0.875, 0.375], [0.875, 0.375, 0.375], [0.375, 0.375, 0.875], [0.250, 0.250, 0.250], [0.500, 0.500, 0.500]]
}

13.
{
  "formula": "ScFeNiSb",
  "functional": "PBE",
  "state": "relaxed",
  "dft_energy_ev_per_atom": -6.19,
  "lattice": [[-4.096, -0.131, 1.731], [-3.435, 1.665, -2.285], [-3.058, -2.732, -1.726]],
  "species": ["Ni", "Fe", "Sc", "Sb"],
  "frac_coords": [[0.500, 0.500, 0.500], [0.250, 0.250, 0.250], [0.750, 0.750, 0.750], [0.000, 0.000, 0.000]]
}

14.
{
  "formula": "LiGaPt",
  "functional": "PBE",
  "state": "relaxed",
  "dft_energy_ev_per_atom": -4.28,
  "lattice": [[-5.910, 2.305, 1.810], [0.849, -6.462, -1.021], [0.958, -0.461, 3.715]],
  "species": ["Pt", "Pt", "Pt", "Ga", "Ga", "Ga", "Li", "Li", "Li"],
  "frac_coords": [[0.000, 0.000, 0.500], [0.667, 0.333, 0.000], [0.333, 0.667, 0.000], [0.000, 0.258, 0.000], [0.258, 0.000, 0.000], [0.742, 0.742, 0.000], [0.421, 0.421, 0.500], [0.000, 0.579, 0.500], [0.579, 0.000, 0.500]]
}

15.
{
  "formula": "CuBiCl6",
  "functional": "PBE",
  "state": "relaxed",
  "dft_energy_ev_per_atom": -2.86,
  "lattice": [[5.350, 0.000, 0.000], [-1.752, 5.614, 0.000], [-0.568, -3.204, 6.884]],
  "species": ["Cl", "Cl", "Cl", "Cl", "Cl", "Cl", "Bi", "Cu"],
  "frac_coords": [[0.657, 0.813, 0.142], [0.335, 0.182, 0.361], [0.621, 0.826, 0.575], [0.003, 0.496, 0.733], [0.380, 0.168, 0.939], [0.027, 0.522, 0.241], [0.504, 0.492, 0.755], [0.472, 0.501, 0.254]]
}

16.
{
  "formula": "Rb2Ta",
  "functional": "PBE",
  "state": "relaxed",
  "dft_energy_ev_per_atom": -2.61,
  "lattice": [[-1.933, -5.965, 0.138], [-5.206, -1.538, 3.141], [-5.164, -1.696, -3.129]],
  "species": ["Rb", "Rb", "Ta"],
  "frac_coords": [[0.750, 0.750, 0.750], [0.250, 0.250, 0.250], [0.000, 0.000, 0.000]]
}

17.
{
  "formula": "NbFeAsIr",
  "functional": "PBE",
  "state": "relaxed",
  "dft_energy_ev_per_atom": -7.99,
  "lattice": [[0.000, 3.121, 3.121], [3.121, 0.000, 3.121], [3.121, 3.121, 0.000]],
  "species": ["As", "Ir", "Fe", "Nb"],
  "frac_coords": [[0.000, 0.000, 0.000], [0.500, 0.500, 0.500], [0.750, 0.750, 0.750], [0.250, 0.250, 0.250]]
}

18.
{
  "formula": "Cd7Hg",
  "functional": "PBE",
  "state": "relaxed",
  "delta_e_f_mev_per_atom": 14,
  "lattice": [[-0.239, 6.281, -0.529], [-1.326, -2.753, 5.518], [4.892, 0.298, 1.324]],
  "species": ["Cd", "Cd", "Cd", "Cd", "Cd", "Cd", "Cd", "Hg"],
  "frac_coords": [[0.665, 0.833, 0.500], [0.500, 0.500, 0.000], [0.500, 0.000, 0.000], [0.000, 0.500, 0.000], [0.167, 0.833, 0.500], [0.167, 0.335, 0.500], [0.667, 0.333, 0.500], [0.000, 0.000, 0.000]]
}

19.
{
  "formula": "CsSi5Os3",
  "functional": "PBE",
  "state": "relaxed",
  "dft_energy_ev_per_atom": -6.58,
  "lattice": [[-2.707, 4.531, -0.406], [-1.971, -4.016, 2.830], [3.965, 2.997, 7.015]],
  "species": ["Si", "Si", "Si", "Si", "Si", "Os", "Os", "Os", "Cs"],
  "frac_coords": [[0.000, 0.000, 0.500], [0.667, 0.333, 0.270], [0.333, 0.667, 0.730], [0.667, 0.333, 0.730], [0.333, 0.667, 0.270], [0.000, 0.500, 0.500], [0.500, 0.500, 0.500], [0.500, 0.000, 0.500], [0.000, 0.000, 0.000]]
}

20.
{
  "formula": "HfZr3",
  "functional": "PBE",
  "state": "relaxed",
  "delta_e_f_mev_per_atom": 0,
  "lattice": [[5.579, -3.221, 0.000], [0.000, 6.443, 0.000], [0.000, 0.000, 5.144]],
  "species": ["Zr", "Zr", "Zr", "Zr", "Zr", "Zr", "Hf", "Hf"],
  "frac_coords": [[0.834, 0.668, 0.500], [0.500, 0.500, 0.000], [0.834, 0.166, 0.500], [0.001, 0.500, 0.000], [0.500, 0.999, 0.000], [0.332, 0.166, 0.500], [0.333, 0.667, 0.500], [0.000, 0.000, 0.000]]
}

21.
{
  "formula": "CsZrAuS3",
  "functional": "PBE",
  "state": "relaxed",
  "dft_energy_ev_per_atom": -5.29,
  "lattice": [[-0.741, 15.520, 1.400], [-1.108, 0.283, -3.723], [-9.936, -0.736, 2.902]],
  "species": ["Zr", "Zr", "Zr", "Zr", "S", "S", "S", "S", "S", "S", "S", "S", "S", "S", "S", "S", "Cs", "Cs", "Cs", "Cs", "Au", "Au", "Au", "Au"],
  "frac_coords": [[0.986, 0.250, 0.331], [0.486, 0.250, 0.169], [0.514, 0.750, 0.831], [0.014, 0.750, 0.669], [0.908, 0.750, 0.855], [0.079, 0.750, 0.432], [0.092, 0.250, 0.145], [0.408, 0.750, 0.645], [0.579, 0.750, 0.068], [0.622, 0.250, 0.774], [0.122, 0.250, 0.726], [0.592, 0.250, 0.355], [0.421, 0.250, 0.932], [0.921, 0.250, 0.568], [0.878, 0.750, 0.274], [0.378, 0.750, 0.226], [0.264, 0.250, 0.457], [0.736, 0.750, 0.543], [0.236, 0.750, 0.957], [0.764, 0.250, 0.043], [0.488, 0.750, 0.397], [0.512, 0.250, 0.603], [0.012, 0.250, 0.897], [0.988, 0.750, 0.103]]
}

22.
{
  "formula": "ThPH",
  "functional": "PBE",
  "state": "relaxed",
  "dft_energy_ev_per_atom": -6.51,
  "lattice": [[-2.042, 0.912, 3.303], [3.757, -1.312, 0.277], [1.285, 3.636, -0.210]],
  "species": ["P", "Th", "H"],
  "frac_coords": [[0.333, 0.667, 0.333], [0.667, 0.333, 0.833], [0.000, 0.000, 0.834]]
}

23.
{
  "formula": "Gd2Lu5Al",
  "functional": "PBE",
  "state": "relaxed",
  "dft_energy_ev_per_atom": -4.50,
  "lattice": [[-2.101, 4.509, -2.204], [-5.225, -0.208, 4.555], [0.575, 3.249, 6.099]],
  "species": ["Lu", "Lu", "Lu", "Lu", "Lu", "Gd", "Gd", "Al"],
  "frac_coords": [[0.000, 0.160, 0.673], [0.500, 0.330, 0.840], [0.500, 0.840, 0.330], [0.000, 0.673, 0.160], [0.500, 0.835, 0.835], [0.500, 0.328, 0.328], [0.000, 0.671, 0.671], [0.000, 0.163, 0.163]]
}

24.
{
  "formula": "LiErNO",
  "functional": "PBE",
  "state": "relaxed",
  "dft_energy_ev_per_atom": -6.51,
  "lattice": [[-1.647, -4.374, -0.100], [0.368, -0.245, 4.653], [-4.099, 1.534, 0.405]],
  "species": ["Li", "Li", "Er", "Er", "N", "N", "O", "O"],
  "frac_coords": [[0.500, 0.500, 0.998], [0.000, 0.000, 0.002], [0.000, 0.500, 0.500], [0.500, 0.000, 0.500], [0.000, 0.000, 0.501], [0.500, 0.500, 0.499], [0.000, 0.500, 0.000], [0.500, 0.000, 0.000]]
}

25.
{
  "formula": "Zr3B",
  "functional": "PBE",
  "state": "relaxed",
  "dft_energy_ev_per_atom": -8.19,
  "lattice": [[-6.430, -2.929, -4.585], [2.348, -4.886, -0.172], [-1.599, -0.867, 2.796]],
  "species": ["Zr", "Zr", "Zr", "Zr", "Zr", "Zr", "B", "B"],
  "frac_coords": [[0.117, 0.500, 0.000], [0.490, 0.257, 0.000], [0.216, 0.000, 0.500], [0.490, 0.743, 0.000], [0.843, 0.243, 0.500], [0.843, 0.757, 0.500], [0.329, 0.500, 0.500], [0.004, 0.000, 0.000]]
}